Record 1
## LiMg2Sb (GGA-PBE)

Data for LiMg2Sb after structural relaxation.

a b c (Å): 3.210 3.210 9.116
angles (deg): 90.00 90.00 100.68
Fractional positions:
Li (0.500, 0.500, 0.750)
Mg (0.000, 0.000, 0.987)
Mg (0.000, 0.000, 0.513)
Sb (0.500, 0.500, 0.250)

Results
- density of states at the Fermi level (states/eV/f.u.) = 0.87
- V (Å³/cell) = 92.3
- mass density (g/cm3) = 3.19
- ΔE_f (raw) (eV/atom) = -0.074

---

Record 2
## LiMgSb (GGA-PBE)

Data for LiMgSb after structural relaxation.

a b c (Å): 6.703 6.703 8.165
angles (deg): 114.18 114.18 90.12
Fractional positions:
Li (0.161, 0.086, 0.247)
Li (0.164, 0.589, 0.253)
Li (0.411, 0.836, 0.747)
Li (0.914, 0.839, 0.753)
Mg (0.661, 0.086, 0.247)
Mg (0.411, 0.336, 0.747)
Mg (0.664, 0.589, 0.253)
Mg (0.914, 0.339, 0.753)
Sb (0.540, 0.965, 0.500)
Sb (0.785, 0.710, 0.000)
Sb (0.035, 0.460, 0.500)
Sb (0.290, 0.215, 0.000)

Results
- V (Å³/cell) = 298.9
- mass density (g/cm3) = 3.40
- ΔE_f (raw) (eV/atom) = -0.546

---

Record 3
## Li2Mg2Sb (GGA-PBE)

Data for Li2Mg2Sb after structural relaxation.

a b c (Å): 7.965 7.965 3.454
angles (deg): 90.00 90.00 90.00
Fractional positions:
Sb (0.000, 0.000, 0.000)
Sb (0.500, 0.500, 0.000)
Mg (0.364, 0.864, 0.000)
Mg (0.864, 0.636, 0.000)
Mg (0.636, 0.136, 0.000)
Mg (0.136, 0.364, 0.000)
Li (0.159, 0.659, 0.500)
Li (0.659, 0.841, 0.500)
Li (0.841, 0.341, 0.500)
Li (0.341, 0.159, 0.500)

Results
- density of states at the Fermi level (states/eV/f.u.) = 2.68
- V (Å³/cell) = 219.2
- mass density (g/cm3) = 2.79
- energy above the most stable polymorph in this dataset (eV/f.u.) = 0.62
- ΔE_f (raw) (eV/atom) = -0.074

---

What is the V in the first record? 92.3 Å³/cell

---

Which of these has the lowest V? LiMg2Sb